[1]
La2RhW: optimized geometry, GGA-PBE. Values from VASP.

The structure in Quantum ESPRESSO input format:
```
&SYSTEM
  ibrav = 0, nat = 4, ntyp = 3
/
ATOMIC_SPECIES
La 138.91 La.upf
Rh 102.91 Rh.upf
W 183.84 W.upf
ATOMIC_POSITIONS crystal
La 0.000 0.000 0.238
La 0.000 0.000 0.762
Rh 0.500 0.500 0.000
W 0.500 0.500 0.500
CELL_PARAMETERS angstrom
3.302 0.000 0.000
0.000 3.846 0.000
0.000 0.000 7.405
```

Properties
ΔE_f ... 250 meV per atom
Energy relative to the lowest polymorph listed for this composition ... 201 meV/atom
E ... -29.16 eV/cell
N(E_F) ... 1.143 states/eV/atom

[2]
LaRhW2: optimized geometry, GGA-PBE. Values from VASP.

The structure in Quantum ESPRESSO input format:
```
&SYSTEM
  ibrav = 0, nat = 4, ntyp = 3
/
ATOMIC_SPECIES
La 138.91 La.upf
Rh 102.91 Rh.upf
W 183.84 W.upf
ATOMIC_POSITIONS crystal
La 0.000 0.000 0.000
Rh 0.730 0.230 0.500
W 0.285 0.785 0.500
W 0.496 0.496 0.000
CELL_PARAMETERS angstrom
-1.597 2.615 4.688
1.597 -2.615 4.688
1.597 2.615 -4.688
```

Properties
ΔE_f ... 525 meV per atom
Energy relative to the lowest polymorph listed for this composition ... 334 meV/atom
E ... -36.09 eV/cell
N(E_F) ... 0.821 states/eV/atom

[3]
La2RhW: optimized geometry, GGA-PBE. Values from VASP.

The structure in Quantum ESPRESSO input format:
```
&SYSTEM
  ibrav = 0, nat = 4, ntyp = 3
/
ATOMIC_SPECIES
La 138.91 La.upf
Rh 102.91 Rh.upf
W 183.84 W.upf
ATOMIC_POSITIONS crystal
La 0.246 0.246 0.246
La 0.754 0.754 0.754
Rh 0.500 0.500 0.500
W 0.000 0.000 0.000
CELL_PARAMETERS angstrom
1.801 1.040 8.630
-1.801 1.040 8.630
0.000 -2.079 8.630
```

Properties
ΔE_f ... 442 meV per atom
Energy relative to the lowest polymorph listed for this composition ... 393 meV/atom
E ... -28.39 eV/cell
N(E_F) ... 1.178 states/eV/atom

[4]
LaRhW2: optimized geometry, GGA-PBE. Values from VASP.

The structure in Quantum ESPRESSO input format:
```
&SYSTEM
  ibrav = 0, nat = 8, ntyp = 3
/
ATOMIC_SPECIES
La 138.91 La.upf
Rh 102.91 Rh.upf
W 183.84 W.upf
ATOMIC_POSITIONS crystal
La 0.000 0.000 0.000
La 0.750 0.250 0.500
Rh 0.250 0.750 0.500
Rh 0.500 0.500 0.000
W 0.360 0.125 0.735
W 0.375 0.640 0.765
W 0.390 0.625 0.265
W 0.875 0.610 0.235
CELL_PARAMETERS angstrom
-2.437 2.437 8.809
2.437 -2.437 8.809
2.437 2.437 -8.809
```

Properties
ΔE_f ... 903 meV per atom
Energy relative to the lowest polymorph listed for this composition ... 713 meV/atom
E ... -69.14 eV/cell
N(E_F) ... 1.413 states/eV/atom

[5]
La2RhW: optimized geometry, GGA-PBE. Values from VASP.

The structure in Quantum ESPRESSO input format:
```
&SYSTEM
  ibrav = 0, nat = 8, ntyp = 3
/
ATOMIC_SPECIES
La 138.91 La.upf
Rh 102.91 Rh.upf
W 183.84 W.upf
ATOMIC_POSITIONS crystal
La 0.103 0.625 0.978
La 0.375 0.353 0.478
La 0.647 0.125 0.022
La 0.875 0.897 0.522
Rh 0.000 0.000 0.000
Rh 0.750 0.250 0.500
W 0.250 0.750 0.500
W 0.500 0.500 0.000
CELL_PARAMETERS angstrom
-3.934 3.934 3.138
3.934 -3.934 3.138
3.934 3.934 -3.138
```

Properties
ΔE_f ... 524 meV per atom
Energy relative to the lowest polymorph listed for this composition ... 475 meV/atom
E ... -56.13 eV/cell
N(E_F) ... 1.224 states/eV/atom

[6]
LaRhW2: optimized geometry, GGA-PBE. Values from VASP.

The structure in Quantum ESPRESSO input format:
```
&SYSTEM
  ibrav = 0, nat = 4, ntyp = 3
/
ATOMIC_SPECIES
La 138.91 La.upf
Rh 102.91 Rh.upf
W 183.84 W.upf
ATOMIC_POSITIONS crystal
La 0.000 0.000 0.000
Rh 0.500 0.000 0.500
W 0.289 0.500 0.749
W 0.711 0.500 0.251
CELL_PARAMETERS angstrom
2.896 0.000 0.000
0.000 5.246 0.000
-0.816 0.000 4.994
```

Properties
ΔE_f ... 530 meV per atom
Energy relative to the lowest polymorph listed for this composition ... 340 meV/atom
E ... -36.06 eV/cell
N(E_F) ... 1.159 states/eV/atom

[7]
LaRhW2: optimized geometry, GGA-PBE. Values from VASP.

The structure in Quantum ESPRESSO input format:
```
&SYSTEM
  ibrav = 0, nat = 4, ntyp = 3
/
ATOMIC_SPECIES
La 138.91 La.upf
Rh 102.91 Rh.upf
W 183.84 W.upf
ATOMIC_POSITIONS crystal
La 0.000 0.000 0.000
Rh 0.500 0.500 0.000
W 0.000 0.500 0.500
W 0.500 0.000 0.500
CELL_PARAMETERS angstrom
4.799 0.000 0.000
0.000 4.799 0.000
0.000 0.000 3.164
```

Properties
ΔE_f ... 854 meV per atom
Energy relative to the lowest polymorph listed for this composition ... 663 meV/atom
E ... -34.77 eV/cell
N(E_F) ... 1.248 states/eV/atom

[8]
La2RhW: optimized geometry, GGA-PBE. Values from VASP.

The structure in Quantum ESPRESSO input format:
```
&SYSTEM
  ibrav = 0, nat = 4, ntyp = 3
/
ATOMIC_SPECIES
La 138.91 La.upf
Rh 102.91 Rh.upf
W 183.84 W.upf
ATOMIC_POSITIONS crystal
La 0.245 0.245 0.256
La 0.755 0.755 0.744
Rh 0.000 0.000 0.500
W 0.500 0.500 0.000
CELL_PARAMETERS angstrom
4.601 -1.576 0.000
4.601 1.576 0.000
-0.562 0.000 6.457
```

Properties
ΔE_f ... 504 meV per atom
Energy relative to the lowest polymorph listed for this composition ... 455 meV/atom
E ... -28.15 eV/cell
N(E_F) ... 1.230 states/eV/atom

[9]
La4RhW: optimized geometry, GGA-PBE. Values from VASP.

The structure in Quantum ESPRESSO input format:
```
&SYSTEM
  ibrav = 0, nat = 6, ntyp = 3
/
ATOMIC_SPECIES
La 138.91 La.upf
Rh 102.91 Rh.upf
W 183.84 W.upf
ATOMIC_POSITIONS crystal
La 0.125 0.125 0.125
La 0.125 0.125 0.625
La 0.125 0.625 0.125
La 0.625 0.125 0.125
Rh 0.750 0.750 0.750
W 0.500 0.500 0.500
CELL_PARAMETERS angstrom
0.000 4.334 4.334
4.334 0.000 4.334
4.334 4.334 0.000
```

Properties
ΔE_f ... 1063 meV per atom
E ... -33.64 eV/cell
N(E_F) ... 1.698 states/eV/atom

[10]
LaRhW2: optimized geometry, GGA-PBE. Values from VASP.

The structure in Quantum ESPRESSO input format:
```
&SYSTEM
  ibrav = 0, nat = 4, ntyp = 3
/
ATOMIC_SPECIES
La 138.91 La.upf
Rh 102.91 Rh.upf
W 183.84 W.upf
ATOMIC_POSITIONS crystal
La 0.000 0.000 0.000
Rh 0.000 0.000 0.500
W 0.500 0.500 0.293
W 0.500 0.500 0.707
CELL_PARAMETERS angstrom
2.827 0.000 0.000
0.000 2.827 0.000
0.000 0.000 9.293
```

Properties
ΔE_f ... 443 meV per atom
Energy relative to the lowest polymorph listed for this composition ... 253 meV/atom
E ... -36.41 eV/cell
N(E_F) ... 1.109 states/eV/atom

[11]
LaRhW2: optimized geometry, GGA-PBE. Values from VASP.

The structure in Quantum ESPRESSO input format:
```
&SYSTEM
  ibrav = 0, nat = 4, ntyp = 3
/
ATOMIC_SPECIES
La 138.91 La.upf
Rh 102.91 Rh.upf
W 183.84 W.upf
ATOMIC_POSITIONS crystal
La 0.000 0.000 0.000
Rh 0.500 0.500 0.000
W 0.000 0.500 0.500
W 0.500 0.000 0.500
CELL_PARAMETERS angstrom
2.679 -5.005 0.000
2.679 5.005 0.000
0.000 0.000 2.828
```

Properties
ΔE_f ... 652 meV per atom
Energy relative to the lowest polymorph listed for this composition ... 462 meV/atom
E ... -35.58 eV/cell
N(E_F) ... 0.790 states/eV/atom

[12]
La2RhW: optimized geometry, GGA-PBE. Values from VASP.

The structure in Quantum ESPRESSO input format:
```
&SYSTEM
  ibrav = 0, nat = 4, ntyp = 3
/
ATOMIC_SPECIES
La 138.91 La.upf
Rh 102.91 Rh.upf
W 183.84 W.upf
ATOMIC_POSITIONS crystal
La 0.000 0.000 0.000
La 0.250 0.250 0.250
Rh 0.500 0.500 0.500
W 0.750 0.750 0.750
CELL_PARAMETERS angstrom
0.000 3.509 3.509
3.509 0.000 3.509
3.509 3.509 0.000
```

Properties
ΔE_f ... 364 meV per atom
Energy relative to the lowest polymorph listed for this composition ... 315 meV/atom
E ... -28.70 eV/cell
N(E_F) ... 1.273 states/eV/atom

[13]
La2RhW: optimized geometry, GGA-PBE. Values from VASP.

The structure in Quantum ESPRESSO input format:
```
&SYSTEM
  ibrav = 0, nat = 4, ntyp = 3
/
ATOMIC_SPECIES
La 138.91 La.upf
Rh 102.91 Rh.upf
W 183.84 W.upf
ATOMIC_POSITIONS crystal
La 0.000 0.000 0.000
La 0.500 0.302 0.302
Rh 0.000 0.708 0.708
W 0.500 0.597 0.597
CELL_PARAMETERS angstrom
4.299 0.000 0.000
0.000 2.343 5.299
0.000 -2.343 5.299
```

Properties
ΔE_f ... 49 meV per atom
Energy relative to the lowest polymorph listed for this composition ... 0 meV/atom
E ... -29.96 eV/cell
N(E_F) ... 1.021 states/eV/atom

[14]
La3YRh8: optimized geometry, GGA-PBE. Values from VASP.

The structure in Quantum ESPRESSO input format:
```
&SYSTEM
  ibrav = 0, nat = 12, ntyp = 3
/
ATOMIC_SPECIES
La 138.91 La.upf
Y 88.91 Y.upf
Rh 102.91 Rh.upf
ATOMIC_POSITIONS crystal
La 0.000 0.000 0.000
La 0.125 0.125 0.375
La 0.500 0.500 0.499
Y 0.625 0.625 0.875
Rh 0.060 0.562 0.184
Rh 0.063 0.063 0.691
Rh 0.063 0.564 0.691
Rh 0.312 0.312 0.937
Rh 0.562 0.060 0.184
Rh 0.562 0.562 0.184
Rh 0.564 0.063 0.691
Rh 0.812 0.812 0.437
CELL_PARAMETERS angstrom
4.692 -2.711 0.000
4.692 2.711 0.000
-3.111 0.000 8.872
```

Properties
ΔE_f ... -698 meV per atom
E ... -88.44 eV/cell
N(E_F) ... 0.548 states/eV/atom

[15]
La6YRh4: optimized geometry, GGA-PBE. Values from VASP.

The structure in Quantum ESPRESSO input format:
```
&SYSTEM
  ibrav = 0, nat = 11, ntyp = 3
/
ATOMIC_SPECIES
La 138.91 La.upf
Y 88.91 Y.upf
Rh 102.91 Rh.upf
ATOMIC_POSITIONS crystal
La 0.000 0.000 0.000
La 0.005 0.804 0.389
La 0.031 0.438 0.741
La 0.361 0.590 0.187
La 0.469 0.151 0.780
La 0.642 0.189 0.279
Y 0.542 0.615 0.638
Rh 0.190 0.252 0.368
Rh 0.446 0.831 0.959
Rh 0.697 0.974 0.541
Rh 0.750 0.561 0.003
CELL_PARAMETERS angstrom
6.303 0.000 0.000
-1.839 6.505 0.000
-1.536 -2.730 7.429
```

Properties
ΔE_f ... -550 meV per atom
E ... -71.49 eV/cell
N(E_F) ... 0.890 states/eV/atom

[16]
La4YRh2: optimized geometry, GGA-PBE. Values from VASP.

The structure in Quantum ESPRESSO input format:
```
&SYSTEM
  ibrav = 0, nat = 14, ntyp = 3
/
ATOMIC_SPECIES
La 138.91 La.upf
Y 88.91 Y.upf
Rh 102.91 Rh.upf
ATOMIC_POSITIONS crystal
La 0.126 0.250 0.483
La 0.161 0.750 0.228
La 0.286 0.504 0.914
La 0.286 0.996 0.914
La 0.714 0.004 0.086
La 0.714 0.496 0.086
La 0.839 0.250 0.772
La 0.874 0.750 0.517
Y 0.475 0.250 0.347
Y 0.525 0.750 0.653
Rh 0.095 0.250 0.146
Rh 0.489 0.250 0.712
Rh 0.511 0.750 0.288
Rh 0.905 0.750 0.854
CELL_PARAMETERS angstrom
8.180 0.000 0.000
0.000 6.563 0.000
-3.476 0.000 7.507
```

Properties
ΔE_f ... -415 meV per atom
E ... -87.56 eV/cell
N(E_F) ... 1.104 states/eV/atom

[17]
La2YRh: optimized geometry, GGA-PBE. Values from VASP.

The structure in Quantum ESPRESSO input format:
```
&SYSTEM
  ibrav = 0, nat = 16, ntyp = 3
/
ATOMIC_SPECIES
La 138.91 La.upf
Y 88.91 Y.upf
Rh 102.91 Rh.upf
ATOMIC_POSITIONS crystal
La 0.171 0.067 0.171
La 0.171 0.433 0.171
La 0.329 0.567 0.671
La 0.329 0.933 0.671
La 0.671 0.067 0.329
La 0.671 0.433 0.329
La 0.829 0.567 0.829
La 0.829 0.933 0.829
Y 0.037 0.250 0.655
Y 0.463 0.750 0.155
Y 0.537 0.250 0.845
Y 0.963 0.750 0.345
Rh 0.125 0.750 0.928
Rh 0.375 0.250 0.428
Rh 0.625 0.750 0.572
Rh 0.875 0.250 0.072
CELL_PARAMETERS angstrom
7.351 0.000 0.000
0.000 10.211 0.000
0.000 0.000 6.379
```

Properties
ΔE_f ... -458 meV per atom
Energy relative to the lowest polymorph listed for this composition ... 0 meV/atom
E ... -102.01 eV/cell
N(E_F) ... 1.172 states/eV/atom

[18]
La2YRh: optimized geometry, GGA-PBE. Values from VASP.

The structure in Quantum ESPRESSO input format:
```
&SYSTEM
  ibrav = 0, nat = 4, ntyp = 3
/
ATOMIC_SPECIES
La 138.91 La.upf
Y 88.91 Y.upf
Rh 102.91 Rh.upf
ATOMIC_POSITIONS crystal
La 0.000 0.000 0.000
La 0.250 0.250 0.250
Y 0.750 0.750 0.750
Rh 0.500 0.500 0.500
CELL_PARAMETERS angstrom
0.000 3.728 3.728
3.728 0.000 3.728
3.728 3.728 0.000
```

Properties
ΔE_f ... -68 meV per atom
Energy relative to the lowest polymorph listed for this composition ... 390 meV/atom
E ... -23.94 eV/cell
N(E_F) ... 1.603 states/eV/atom

[19]
La2YRh9: optimized geometry, GGA-PBE. Values from VASP.

The structure in Quantum ESPRESSO input format:
```
&SYSTEM
  ibrav = 0, nat = 12, ntyp = 3
/
ATOMIC_SPECIES
La 138.91 La.upf
Y 88.91 Y.upf
Rh 102.91 Rh.upf
ATOMIC_POSITIONS crystal
La 0.138 0.138 0.138
La 0.862 0.862 0.862
Y 0.000 0.000 0.000
Rh 0.081 0.580 0.580
Rh 0.333 0.333 0.333
Rh 0.420 0.420 0.919
Rh 0.420 0.919 0.420
Rh 0.500 0.500 0.500
Rh 0.580 0.081 0.580
Rh 0.580 0.580 0.081
Rh 0.667 0.667 0.667
Rh 0.919 0.420 0.420
CELL_PARAMETERS angstrom
2.651 1.531 8.967
-2.651 1.531 8.967
0.000 -3.061 8.967
```

Properties
ΔE_f ... -520 meV per atom
E ... -88.72 eV/cell
N(E_F) ... 0.983 states/eV/atom

[20]
La2Y2Rh: optimized geometry, GGA-PBE. Values from VASP.

The structure in Quantum ESPRESSO input format:
```
&SYSTEM
  ibrav = 0, nat = 10, ntyp = 3
/
ATOMIC_SPECIES
La 138.91 La.upf
Y 88.91 Y.upf
Rh 102.91 Rh.upf
ATOMIC_POSITIONS crystal
La 0.167 0.333 0.000
La 0.333 0.833 0.000
La 0.667 0.167 0.000
La 0.833 0.667 0.000
Y 0.162 0.662 0.500
Y 0.338 0.162 0.500
Y 0.662 0.838 0.500
Y 0.838 0.338 0.500
Rh 0.000 0.000 0.500
Rh 0.500 0.500 0.500
CELL_PARAMETERS angstrom
7.211 0.000 0.000
0.000 7.211 0.000
0.000 0.000 5.899
```

Properties
ΔE_f ... -180 meV per atom
Energy relative to the lowest polymorph listed for this composition ... 0 meV/atom
E ... -62.07 eV/cell
N(E_F) ... 2.190 states/eV/atom